First-principles (GGA-PBEsol) data for a geometry-optimized CsLiFeC2 structure, as listed in Alexandria via LeMat-Bulk.

raw total energy = -5.197 eV/atom
magnetization = 0.0 Bohr magnetons per cell
density of states at the Fermi level = 2.0 states/eV/f.u.
crystal system = tetragonal
volume = 13.9 A^3/atom
calculated formation energy = 1035 meV/atom

Structure (POSCAR):
```
CsLiFeC2
1.0
-2.8670 1.9627 -1.3589
-0.8872 -2.8477 -2.2410
-2.9731 -1.8768 3.5620
Li Fe Cs C
1 1 1 2
Cartesian
-1.4865 -0.9384 1.7810 Li
0.0000 0.0000 0.0000 Fe
-3.3637 -1.3809 -0.0190 Cs
-0.4436 -1.4239 -1.1205 C
-1.4335 0.9813 -0.6795 C
```

=====

First-principles (GGA-PBEsol) data for a geometry-optimized Cs2MnFeC6N6 structure, as listed in Alexandria via LeMat-Bulk.

raw total energy = -8.284 eV/atom
magnetization = 1.0 Bohr magnetons per cell
density of states at the Fermi level = 9.6 states/eV/f.u.
crystal system = cubic
volume = 15.2 A^3/atom
raw formation energy = -182 meV/atom

Structure (POSCAR):
```
Cs2MnFeC6N6
1.0
7.0122 0.0000 0.0000
3.5061 6.0728 0.0000
3.5061 2.0243 5.7254
N C Cs Fe Mn
6 6 2 1 1
Cartesian
7.0122 5.6099 3.9668 N
5.6600 3.2678 3.9668 N
8.3644 3.2678 3.9668 N
8.3644 4.8292 1.7587 N
5.6600 4.8292 1.7587 N
7.0122 2.4871 1.7587 N
4.8236 2.7849 4.6498 C
7.0122 6.5757 4.6498 C
7.0122 1.5213 1.0757 C
4.8236 5.3121 1.0757 C
9.2009 2.7849 4.6498 C
9.2009 5.3121 1.0757 C
3.5061 2.0243 1.4314 Cs
10.5183 6.0728 4.2941 Cs
0.0000 0.0000 0.0000 Fe
7.0122 4.0485 2.8627 Mn
```

=====

First-principles (GGA-PBEsol) data for a geometry-optimized Cs2NaFeC6N6 structure, as listed in Alexandria via LeMat-Bulk.

raw total energy = -7.691 eV/atom
magnetization = 2.0 Bohr magnetons per cell
density of states at the Fermi level = 11.0 states/eV/f.u.
crystal system = monoclinic
volume = 19.1 A^3/atom
raw formation energy = -112 meV/atom

Structure (POSCAR):
```
Cs2NaFeC6N6
1.0
7.3971 0.0000 -0.0228
0.0000 7.7449 0.0000
-0.0210 0.0000 10.6871
N C Cs Fe Na
12 12 4 2 2
Cartesian
6.7295 7.5826 7.6829 N
0.6467 0.1623 2.9814 N
4.3347 3.7101 8.3135 N
1.6518 2.5046 10.1488 N
2.0154 6.3771 5.8704 N
5.7244 5.2403 0.5154 N
4.9371 1.7593 0.4280 N
6.1481 5.6318 4.8813 N
5.3608 1.3678 4.7939 N
1.2280 2.1131 5.7829 N
2.4391 5.9856 10.2363 N
3.0414 4.0348 2.3508 N
2.1727 2.7925 5.6020 C
2.6581 5.4145 5.6538 C
6.9778 7.6561 8.8312 C
4.7181 2.3304 5.0104 C
0.3984 0.0888 1.8330 C
1.0090 1.5420 10.3654 C
5.2035 4.9524 5.0622 C
5.8817 1.0799 0.2471 C
4.0865 3.7837 7.1652 C
6.3672 6.2029 0.2989 C
3.2897 3.9613 3.4991 C
1.4945 6.6650 10.4172 C
7.2560 3.4069 2.6483 Cs
3.5469 0.4656 8.0033 Cs
0.1202 4.3380 8.0159 Cs
3.8292 7.2793 2.6610 Cs
0.0000 0.0000 0.0000 Fe
3.6881 3.8725 5.3321 Fe
-0.0105 0.0000 5.3435 Na
3.6986 3.8725 -0.0114 Na
```

=====

First-principles (GGA-PBEsol) data for a geometry-optimized Cs2RbFeC6N6 structure, as listed in Alexandria via LeMat-Bulk.

raw total energy = -7.673 eV/atom
magnetization = 2.0 Bohr magnetons per cell
density of states at the Fermi level = 11.3 states/eV/f.u.
crystal system = monoclinic
volume = 21.9 A^3/atom
raw formation energy = -117 meV/atom

Structure (POSCAR):
```
Cs2RbFeC6N6
1.0
-1.5063 -7.5374 -0.6807
3.7402 -0.0896 -7.2842
9.6155 -2.4962 4.9679
C N Cs Rb Fe
12 12 4 2 2
Cartesian
5.5218 -6.6394 -0.5594 C
11.3368 -8.5235 -2.1533 C
3.3268 -1.0737 -5.7292 C
8.5226 -9.0495 2.7322 C
0.5125 -1.5997 -0.8438 C
4.9119 -4.0433 -0.2759 C
11.5942 -2.8227 -2.9310 C
6.9375 -6.0799 -2.7211 C
6.3276 -3.4838 -2.4377 C
7.4530 -4.8191 -0.4298 C
4.3963 -5.3041 -2.5672 C
0.2552 -7.3005 -0.0661 C
8.3945 -4.6635 0.2612 N
4.2823 -3.3858 0.4722 N
7.5671 -6.7374 -3.4692 N
8.7701 -8.4130 1.7720 N
11.0010 -7.5082 -1.6585 N
0.8483 -2.6149 -1.3386 N
3.4548 -5.4597 -3.2583 N
1.3670 -7.1490 0.2933 N
3.0792 -1.7102 -4.7690 N
10.4824 -2.9742 -3.2904 N
5.3053 -7.6414 0.0215 N
6.5441 -2.4818 -3.0185 N
7.8557 -9.2600 -1.1244 Cs
5.1276 -4.2750 -5.8514 Cs
6.7218 -5.8482 2.8543 Cs
3.9937 -0.8631 -1.8727 Cs
1.1169 -3.8135 -3.9825 Rb
4.8078 -1.2481 2.4839 Rb
0.0000 0.0000 0.0000 Fe
5.9247 -5.0616 -1.4985 Fe
```

=====

First-principles (GGA-PBEsol) data for a geometry-optimized CsTiGaC2 structure, as listed in Alexandria via LeMat-Bulk.

raw total energy = -5.135 eV/atom
magnetization = 0.0 Bohr magnetons per cell
density of states at the Fermi level = 2.0 states/eV/f.u.
crystal system = tetragonal
volume = 18.6 A^3/atom
calculated formation energy = 1244 meV/atom

Structure (POSCAR):
```
CsTiGaC2
1.0
4.2732 0.0000 0.0000
0.0000 4.2732 0.0000
0.0000 0.0000 5.0892
Cs Ti C Ga
1 1 2 1
Cartesian
2.1366 2.1366 2.5446 Cs
0.0000 0.0000 0.0000 Ti
0.0000 2.1366 0.0000 C
2.1366 0.0000 0.0000 C
0.0000 0.0000 2.5446 Ga
```

=====

First-principles (GGA-PBEsol) data for a geometry-optimized CsGeC2 structure, as listed in Alexandria via LeMat-Bulk.

raw total energy = -4.798 eV/atom
magnetization = 1.9 Bohr magnetons per cell
density of states at the Fermi level = 1.8 states/eV/f.u.
crystal system = tetragonal
volume = 19.2 A^3/atom
calculated formation energy = 1494 meV/atom

Structure (POSCAR):
```
CsGeC2
1.0
-4.1515 0.0358 -3.1730
-3.1133 -1.0565 4.0615
2.9716 6.0203 0.4825
C Cs Ge
4 2 2
Cartesian
-1.5335 4.1414 -0.0982 C
-3.0193 1.1313 -0.3394 C
0.5423 4.1235 1.4883 C
-4.5759 0.6030 1.6913 C
0.0000 0.0000 0.0000 Cs
-1.8870 2.2267 2.4941 Cs
-2.4062 2.7729 -1.1231 Ge
-3.6324 -0.5103 0.4443 Ge
```

=====

First-principles (GGA-PBEsol) data for a geometry-optimized CsGeC3 structure, as listed in Alexandria via LeMat-Bulk.

raw total energy = -2.852 eV/atom
magnetization = 1.1 Bohr magnetons per cell
density of states at the Fermi level = 4.3 states/eV/f.u.
crystal system = cubic
volume = 18.5 A^3/atom
calculated formation energy = 4110 meV/atom

Structure (POSCAR):
```
CsGeC3
1.0
4.5242 0.0000 0.0000
0.0000 4.5242 0.0000
0.0000 0.0000 4.5242
C Cs Ge
3 1 1
Cartesian
0.0000 2.2621 0.0000 C
0.0000 0.0000 2.2621 C
2.2621 0.0000 0.0000 C
0.0000 0.0000 0.0000 Cs
2.2621 2.2621 2.2621 Ge
```

=====

First-principles (GGA-PBEsol) data for a geometry-optimized Cs2KGeC structure, as listed in Alexandria via LeMat-Bulk.

raw total energy = -2.030 eV/atom
magnetization = 0.9 Bohr magnetons per cell
density of states at the Fermi level = 3.5 states/eV/f.u.
crystal system = tetragonal
volume = 46.0 A^3/atom
calculated formation energy = 1490 meV/atom

Structure (POSCAR):
```
Cs2KGeC
1.0
-0.3142 -4.2214 2.5862
6.2488 -1.7408 -2.0822
2.6795 3.1259 5.4279
Cs Ge C K
2 1 1 1
Cartesian
3.1244 -0.8704 -1.0411 Cs
1.3397 1.5630 2.7140 Cs
4.3070 -1.4181 2.9659 Ge
-0.1571 -2.1107 1.2931 C
0.0000 0.0000 0.0000 K
```

=====

First-principles (GGA-PBEsol) data for a geometry-optimized Cs2MgH8C4O12 structure, as listed in Alexandria via LeMat-Bulk.

raw total energy = -6.266 eV/atom
magnetization = 0.0 Bohr magnetons per cell
density of states at the Fermi level = 0.0 states/eV/f.u.
crystal system = monoclinic
volume = 12.1 A^3/atom

Structure (POSCAR):
```
Cs2MgH8C4O12
1.0
-7.1379 0.4833 -1.4128
-2.0365 -1.1866 -8.9373
-4.6035 -10.1152 0.9774
O H C Cs Mg
24 16 8 4 2
Cartesian
-6.0335 -1.0355 -2.9331 O
-4.5516 -1.3994 -7.7348 O
-9.2263 -9.4191 -1.6379 O
-8.9853 -3.6943 -6.0068 O
-7.7444 -9.7831 -6.4396 O
-5.1406 -5.1446 -6.0406 O
-10.3708 -6.6276 -1.5706 O
-10.0226 -8.2942 -3.9002 O
-2.5580 -0.7021 -4.9115 O
-4.7927 -7.1242 -3.3659 O
-11.2200 -10.1164 -4.4611 O
-7.6253 -7.1169 -0.7729 O
-5.5286 -8.4796 -0.1113 O
-4.3062 -5.1350 -0.0462 O
-6.1526 -3.7016 -8.5998 O
-2.6878 -4.2497 -2.1159 O
-9.4717 -5.6835 -9.3265 O
-11.0901 -6.5688 -7.2568 O
-7.1413 -8.1859 -3.5841 O
-6.6367 -2.6326 -5.7886 O
-3.4071 -4.1909 -7.8021 O
-8.2493 -2.3389 -9.2614 O
-8.6374 -5.6740 -3.3321 O
-3.7554 -2.5243 -5.4725 O
-7.5515 -6.1515 -0.5078 H
-4.6698 -7.9663 -0.1757 H
-7.0322 -3.2259 -8.8125 H
-6.7457 -7.5926 -0.5602 H
-6.2265 -4.6671 -8.8649 H
-9.2429 -3.7568 -5.0286 H
-4.5350 -7.0617 -4.3441 H
-7.0983 -9.1592 -3.8261 H
-9.1082 -2.8522 -9.1970 H
-7.5849 -2.9846 -5.9377 H
-6.1931 -7.8339 -3.4350 H
-7.7082 -9.7364 -8.0477 H
-6.6796 -1.6593 -5.5466 H
-2.5432 -3.5591 -4.9661 H
-6.0697 -1.0821 -1.3250 H
-11.2348 -7.2594 -4.4066 H
-10.4803 -9.4682 -3.6889 C
-4.1928 -5.9291 -6.3575 C
-3.2976 -1.3503 -5.6838 C
-10.3581 -4.9253 -8.8760 C
-3.4198 -5.8932 -0.4967 C
-9.5852 -4.8895 -3.0152 C
-3.7017 -0.7366 -7.0620 C
-10.0762 -10.0819 -2.3106 C
-11.7073 -9.6221 -7.5174 Cs
-5.7655 -4.1487 -3.0185 Cs
-2.0706 -1.1964 -1.8553 Cs
-8.0125 -6.6698 -6.3542 Cs
-5.0778 -3.2563 -6.9335 Mg
-8.7001 -7.5622 -2.4391 Mg
```

=====

First-principles (GGA-PBEsol) data for a geometry-optimized CsH4CN3 structure, as listed in Alexandria via LeMat-Bulk.

raw total energy = -5.897 eV/atom
magnetization = 0.0 Bohr magnetons per cell
density of states at the Fermi level = 0.0 states/eV/f.u.
crystal system = orthorhombic
volume = 10.7 A^3/atom

Structure (POSCAR):
```
CsH4CN3
1.0
-1.6703 -2.9681 -6.2784
-5.8859 -2.7056 2.8450
-3.8510 6.3155 -1.9611
C N Cs H
4 12 4 16
Cartesian
-4.4353 4.4629 -2.9614 C
-6.9719 -3.8211 -2.4332 C
-4.9696 -0.9257 -4.3347 C
-6.4375 1.5675 -1.0599 C
-4.6864 -1.5923 -5.4706 N
-6.2808 -0.5457 -4.1655 N
-9.9461 2.9125 -0.7623 N
-4.3143 4.4667 -1.6196 N
-4.8799 3.4617 -3.7455 N
-6.7208 2.2341 0.0761 N
-6.5273 -2.8199 -1.6491 N
-7.0928 -3.8249 -3.7749 N
-4.1208 -0.5873 -3.3447 N
-1.4611 -2.2707 -4.6322 N
-7.2864 1.2291 -2.0498 N
-5.1263 1.1875 -1.2290 N
-7.6746 2.2860 -5.1334 Cs
-3.7326 -1.6442 -0.2612 Cs
-9.2842 -1.2534 -3.0319 Cs
-2.1230 1.8952 -2.3627 Cs
-4.8633 0.5541 -2.0179 H
-3.1805 -0.9314 -3.5961 H
-5.8692 -2.5448 1.7514 H
-6.5439 0.0877 -3.3766 H
-7.7285 2.4585 0.0742 H
-4.6248 3.5477 -1.2664 H
-8.2267 1.5732 -1.7984 H
-3.6787 -1.8167 -5.4688 H
-6.2841 -2.0206 -2.2555 H
-5.1230 2.6624 -3.1390 H
-6.7823 -2.9059 -4.1282 H
-6.2879 -3.2888 0.1778 H
-5.1193 3.9306 -5.5723 H
-5.5380 3.1866 -7.1459 H
-6.9625 -0.6562 -4.9502 H
-4.4446 1.2980 -0.4443 H
```

=====

First-principles (GGA-PBEsol) data for a geometry-optimized CsH3CN2O structure, as listed in Alexandria via LeMat-Bulk.

raw total energy = -6.076 eV/atom
magnetization = 0.0 Bohr magnetons per cell
density of states at the Fermi level = 0.0 states/eV/f.u.
crystal system = orthorhombic
volume = 12.5 A^3/atom

Structure (POSCAR):
```
CsH3CN2O
1.0
-3.3086 -5.2057 1.6688
5.8404 -3.8462 -0.4186
1.7227 1.6753 8.6413
N H C O Cs
8 12 4 4 4
Cartesian
1.5986 -2.0539 3.9920 N
4.0096 -6.3999 8.2855 N
2.5789 -6.6768 1.5226 N
-0.5653 -3.8731 6.2605 N
-1.0904 -3.2693 4.0406 N
2.9520 -1.3545 5.7942 N
4.8968 -2.1493 8.0078 N
2.6378 -3.7294 1.6626 N
2.2776 -3.1679 2.4609 H
2.6568 -4.7748 1.7053 H
-0.1303 -2.8687 3.9276 H
-1.4059 -3.0135 7.8732 H
3.1073 -6.7443 8.6883 H
0.3557 -3.5527 5.9171 H
2.8752 -0.3653 5.4616 H
3.6214 -1.6154 6.5468 H
4.9969 -3.1421 8.2780 H
1.6218 -7.0324 1.6846 H
1.5347 -1.0259 3.9032 H
4.0160 -6.9563 2.9020 H
-1.4560 -3.7911 5.2600 C
4.7622 -5.5017 9.0068 C
2.8514 -3.1074 0.4540 C
2.3515 -2.3528 5.0621 C
2.7544 -1.8229 0.4129 O
0.0616 -1.2994 8.9405 O
2.5183 -3.5694 5.4533 O
3.1748 -8.0613 4.9761 O
0.1387 -0.8556 1.3543 Cs
1.8362 -3.5900 8.4234 Cs
5.3588 -4.3181 5.6396 Cs
1.1754 -5.9894 4.3656 Cs
```

=====

First-principles (GGA-PBEsol) data for a geometry-optimized CsHCO2 structure, as listed in Alexandria via LeMat-Bulk.

raw total energy = -6.158 eV/atom
magnetization = 0.0 Bohr magnetons per cell
density of states at the Fermi level = 0.0 states/eV/f.u.
crystal system = orthorhombic
volume = 17.8 A^3/atom

Structure (POSCAR):
```
CsHCO2
1.0
4.7902 0.0000 0.0000
0.0000 7.8503 0.0000
0.0000 0.0000 9.4884
H O C Cs
4 8 4 4
Cartesian
2.0811 1.9626 4.9982 H
2.7090 1.9626 0.2540 H
2.7090 5.8877 4.4902 H
2.0811 5.8877 9.2344 H
0.6841 5.8877 4.7442 O
4.1061 5.8877 0.0000 O
2.1649 1.9626 7.7777 O
2.6252 1.9626 3.0334 O
0.6841 1.9626 9.4884 O
4.1061 1.9626 4.7442 O
2.1649 5.8877 6.4550 O
2.6252 5.8877 1.7108 O
1.8553 5.8877 5.2262 C
1.8553 1.9626 9.0065 C
2.9348 1.9626 4.2622 C
2.9348 5.8877 0.4820 C
4.5094 3.9251 7.1163 Cs
4.5094 0.0000 7.1163 Cs
0.2808 0.0000 2.3721 Cs
0.2808 3.9251 2.3721 Cs
```